Entry 1:
Compound: TbNdEr2
Source: Alexandria
Functional: PBE
Structure: optimized geometry

Cell: 5.0486 5.0486 5.0171 Å, 90.00 90.00 90.00°
With the nearest neighbours (Å) after each atom.
Space group P4/mmm (No. 123)
Unique sites:
Tb1 0.0000 0.0000 0.0000 x1  8 Er 3.56, 4 Nd 3.57
Nd1 0.5000 0.5000 0.0000 x1  8 Er 3.56, 4 Tb 3.57
Er1 0.0000 0.5000 0.5000 x2  4 Tb 3.56, 4 Nd 3.56, 4 Er 3.57


Entry 2:
Compound: SrLaRu
Source: Alexandria
Functional: PBE
Structure: optimized geometry

Cell: 7.4930 8.7702 6.1679 Å, 90.00 95.15 90.00°
With the nearest neighbours (Å) after each atom.
Space group P2_1/c (No. 14)
Unique sites:
Sr1 0.1931 0.1383 0.1398 x4  3 Ru 3.07-3.39
La1 0.3307 0.6200 0.1195 x4  2 Ru 2.60-2.78
Ru1 0.4962 0.0993 0.8399 x4  2 La 2.60-2.78, 1 Ru 2.63


What magnetization values result from the calculations? In sequence: 0.0; 0.0 Bohr magnetons per cell.
What distance to the lowest polymorph of the same formula values result from the calculations? In sequence: 0.09; 0.00 eV per formula unit.
What formation energy from the elements values result from the calculations? In sequence: 0.09; 0.05 eV/f.u..